VASP calculation (PBEsol) on an optimized crystal structure of MgCu2Tc.

Results
E_tot	-5.05	eV per atom
crystal system	tetragonal

a = 4.674 Å, b = 4.674 Å, c = 4.674 Å
α = 133.13°, β = 133.13°, γ = 68.45°
Element x y z (fractional)
Mg (0.000, 0.000, 0.000)
Cu (0.250, 0.750, 0.500)
Cu (0.500, 0.500, 0.000)
Tc (0.750, 0.250, 0.500)